Compound: HfScCrRe
Source: Alexandria via LeMat-Bulk
Functional: PBE
Structure: relaxed

Calculated values
**Energy**: -9.618 eV/atom
**DFT formation energy**: -0.03 eV per atom
**Space-group type**: F-43m
**Crystal system**: cubic

a = 4.644 Å, b = 4.644 Å, c = 4.644 Å
α = 60.00°, β = 60.00°, γ = 60.00°
Site moments in Bohr magnetons follow the coordinates.
Sites, in units of the cell vectors:
Sc: 0.000 0.000 0.000  0.08
Re: 0.750 0.750 0.750  0.08
Hf: 0.500 0.500 0.500  -0.03
Cr: 0.250 0.250 0.250  2.90